# 1
{"formula": "Mn2Ni", "functional": "PBE", "state": "optimized geometry", "lattice": [[-0.4180, -1.0183, -5.2644], [5.3092, -0.8173, -0.2635], [-0.7501, -5.2173, 1.0688]], "species": ["Ni", "Ni", "Ni", "Ni", "Mn", "Mn", "Mn", "Mn", "Mn", "Mn", "Mn", "Mn"], "frac_coords": [[0.0000, 0.0000, 0.0000], [0.0000, 0.5000, 0.5000], [0.5000, 0.0000, 0.5000], [0.5000, 0.5000, 0.0000], [0.1039, 0.6039, 0.8961], [0.1039, 0.8961, 0.3961], [0.3961, 0.1039, 0.8961], [0.3961, 0.3961, 0.3961], [0.6039, 0.6039, 0.6039], [0.6039, 0.8961, 0.1039], [0.8961, 0.1039, 0.6039], [0.8961, 0.3961, 0.1039]], "ef_mev_per_atom": 851, "dos_ef_per_ev_fu": 1.37, "magnetic_moment_mub_per_fu": 0.00}

=====

# 2
{"formula": "InNi2IrI", "functional": "PBE", "state": "optimized geometry", "lattice": [[-4.7314, 0.1707, 0.0396], [-0.1781, -4.2286, -3.0488], [-0.0676, -2.7668, 3.8414]], "species": ["I", "Ni", "Ni", "Ir", "In"], "frac_coords": [[0.5000, 0.5000, 0.5000], [0.0000, 0.0000, 0.5000], [0.5000, 0.0000, 0.0000], [0.0000, 0.0000, 0.0000], [0.0000, 0.5000, 0.0000]], "formation_energy_uncorrected_ev_per_atom": 0.78, "dos_ef_per_ev_fu": 6.43, "magnetic_moment_mub_per_fu": 2.50}

=====

# 3
{"formula": "CrH3Pd", "functional": "PBE", "state": "optimized geometry", "lattice": [[3.4038, 0.0000, 0.0000], [0.0000, 3.4038, 0.0000], [0.0000, 0.0000, 3.4038]], "species": ["Cr", "Pd", "H", "H", "H"], "frac_coords": [[0.0000, 0.0000, 0.0000], [0.5000, 0.5000, 0.5000], [0.0000, 0.5000, 0.0000], [0.0000, 0.0000, 0.5000], [0.5000, 0.0000, 0.0000]], "dos_ef_per_ev_fu": 1.57, "magnetic_moment_mub_per_fu": 2.89}

=====

# 4
{"formula": "TaCl6", "functional": "PBE", "state": "optimized geometry", "lattice": [[8.4959, 0.0000, 0.0000], [0.0000, 11.7908, 0.0000], [0.0000, 0.0000, 10.6140]], "species": ["Ta", "Ta", "Ta", "Ta", "Cl", "Cl", "Cl", "Cl", "Cl", "Cl", "Cl", "Cl", "Cl", "Cl", "Cl", "Cl", "Cl", "Cl", "Cl", "Cl", "Cl", "Cl", "Cl", "Cl", "Cl", "Cl", "Cl", "Cl"], "frac_coords": [[0.0512, 0.2500, 0.6329], [0.9488, 0.7500, 0.3671], [0.5512, 0.7500, 0.8671], [0.4488, 0.2500, 0.1329], [0.8546, 0.2500, 0.4859], [0.1454, 0.7500, 0.5141], [0.3546, 0.7500, 0.0141], [0.6454, 0.2500, 0.9859], [0.2986, 0.2500, 0.7572], [0.7014, 0.7500, 0.2428], [0.7986, 0.7500, 0.7428], [0.2014, 0.2500, 0.2572], [0.2026, 0.3881, 0.5151], [0.7974, 0.6119, 0.4849], [0.7026, 0.6119, 0.9849], [0.7974, 0.8881, 0.4849], [0.2974, 0.3881, 0.0151], [0.2026, 0.1119, 0.5151], [0.2974, 0.1119, 0.0151], [0.7026, 0.8881, 0.9849], [0.9543, 0.3936, 0.7580], [0.0457, 0.6064, 0.2420], [0.4543, 0.6064, 0.7420], [0.0457, 0.8936, 0.2420], [0.5457, 0.3936, 0.2580], [0.9543, 0.1064, 0.7580], [0.5457, 0.1064, 0.2580], [0.4543, 0.8936, 0.7420]], "formation_energy_uncorrected_ev_per_atom": -1.04, "dos_ef_per_ev_fu": 3.95, "magnetic_moment_mub_per_fu": 1.07}

=====

| no. | E (eV/f.u.) |
| --- | --- |
| 1 | -21.57 |
| 2 | -20.83 |
| 3 | -23.74 |
| 4 | -30.19 |